Record 1
# LaZr2Ru, optimized geometry, DFT PBE
# total magnetization = 0.0 μB/cell
# calculated volume = 90 Å³/f.u.
# ΔE to the lowest computed polymorph = 32.8 kJ per mole of atoms
# D(E_F) = 4.586 states/eV/f.u.
# raw total energy = -7.67 eV per atom
data_LaZr2Ru
_symmetry_space_group_name_H-M 'P 4/m m m'
_symmetry_Int_Tables_number 123
_symmetry_space_group_name_Hall '-P 4 2'
_cell_length_a 4.1386
_cell_length_b 4.1386
_cell_length_c 5.2792
_cell_angle_alpha 90.00
_cell_angle_beta 90.00
_cell_angle_gamma 90.00
loop_
_atom_site_label
_atom_site_fract_x
_atom_site_fract_y
_atom_site_fract_z
La1 0.0000 0.0000 0.0000
Zr1 0.0000 0.5000 0.5000
Ru1 0.5000 0.5000 0.0000

***

Record 2
# LaZr2Ru, optimized geometry, DFT PBE
# total magnetization = 0.0 μB/cell
# calculated volume = 94 Å³/f.u.
# ΔE to the lowest computed polymorph = 18.8 kJ per mole of atoms
# D(E_F) = 3.714 states/eV/f.u.
# raw total energy = -7.82 eV per atom
data_LaZr2Ru
_symmetry_space_group_name_H-M 'P m m 2'
_symmetry_Int_Tables_number 25
_symmetry_space_group_name_Hall 'P 2 -2'
_cell_length_a 3.3389
_cell_length_b 4.4001
_cell_length_c 6.3863
_cell_angle_alpha 90.00
_cell_angle_beta 90.00
_cell_angle_gamma 90.00
loop_
_atom_site_label
_atom_site_fract_x
_atom_site_fract_y
_atom_site_fract_z
La1 0.0000 0.0000 0.0000
Zr1 0.0000 0.0000 0.4416
Zr2 0.5000 0.5000 0.6600
Ru1 0.5000 0.5000 0.2741

***

Record 3
# LaZr2Ru, optimized geometry, DFT PBE
# total magnetization = 0.0 μB/cell
# calculated volume = 88 Å³/f.u.
# ΔE to the lowest computed polymorph = 41.9 kJ per mole of atoms
# D(E_F) = 5.300 states/eV/f.u.
# raw total energy = -7.58 eV per atom
data_LaZr2Ru
_symmetry_space_group_name_H-M 'C m m m'
_symmetry_Int_Tables_number 65
_symmetry_space_group_name_Hall '-C 2 2'
_cell_length_a 5.5669
_cell_length_b 9.8798
_cell_length_c 3.2086
_cell_angle_alpha 90.00
_cell_angle_beta 90.00
_cell_angle_gamma 90.00
loop_
_atom_site_label
_atom_site_fract_x
_atom_site_fract_y
_atom_site_fract_z
La1 0.0000 0.0000 0.0000
Zr1 0.2500 0.2500 0.5000
Ru1 0.0000 0.5000 0.0000

***

Record 4
# LaZr4Ru, optimized geometry, DFT PBE
# total magnetization = 0.0 μB/cell
# calculated volume = 138 Å³/f.u.
# D(E_F) = 7.476 states/eV/f.u.
# raw total energy = -7.63 eV per atom
data_LaZr4Ru
_symmetry_space_group_name_H-M 'F -4 3 m'
_symmetry_Int_Tables_number 216
_symmetry_space_group_name_Hall 'F -4 2 3'
_cell_length_a 8.2014
_cell_length_b 8.2014
_cell_length_c 8.2014
_cell_angle_alpha 90.00
_cell_angle_beta 90.00
_cell_angle_gamma 90.00
loop_
_atom_site_label
_atom_site_fract_x
_atom_site_fract_y
_atom_site_fract_z
La1 0.0000 0.0000 0.0000
Zr1 0.1241 0.1241 0.3759
Ru1 0.2500 0.2500 0.7500

***

Record 5
# La2ZrRu, optimized geometry, DFT PBE
# total magnetization = 0.0 μB/cell
# calculated volume = 98 Å³/f.u.
# ΔE to the lowest computed polymorph = 33.5 kJ per mole of atoms
# D(E_F) = 4.899 states/eV/f.u.
# raw total energy = -6.71 eV per atom
data_La2ZrRu
_symmetry_space_group_name_H-M 'I -4 m 2'
_symmetry_Int_Tables_number 119
_symmetry_space_group_name_Hall 'I -4 -2'
_cell_length_a 4.2973
_cell_length_b 4.2973
_cell_length_c 10.5938
_cell_angle_alpha 90.00
_cell_angle_beta 90.00
_cell_angle_gamma 90.00
loop_
_atom_site_label
_atom_site_fract_x
_atom_site_fract_y
_atom_site_fract_z
La1 0.0000 0.0000 0.0000
La2 0.0000 0.5000 0.2500
Zr1 0.0000 0.0000 0.5000
Ru1 0.0000 0.5000 0.7500

***

Record 6
# La2ZrRu, optimized geometry, DFT PBE
# total magnetization = 0.0 μB/cell
# calculated volume = 121 Å³/f.u.
# ΔE to the lowest computed polymorph = 11.2 kJ per mole of atoms
# D(E_F) = 3.480 states/eV/f.u.
# raw total energy = -6.94 eV per atom
data_La2ZrRu
_symmetry_space_group_name_H-M 'R 3 m'
_symmetry_Int_Tables_number 160
_symmetry_space_group_name_Hall 'R 3 -2"'
_cell_length_a 3.9115
_cell_length_b 3.9115
_cell_length_c 27.3203
_cell_angle_alpha 90.00
_cell_angle_beta 90.00
_cell_angle_gamma 120.00
loop_
_atom_site_label
_atom_site_fract_x
_atom_site_fract_y
_atom_site_fract_z
La1 0.0000 0.0000 0.0000
La2 0.0000 0.0000 0.2083
Zr1 0.0000 0.0000 0.7641
Ru1 0.0000 0.0000 0.4793

***

Record 7
# LaZr2Ru, optimized geometry, DFT PBE
# total magnetization = 0.0 μB/cell
# calculated volume = 84 Å³/f.u.
# ΔE to the lowest computed polymorph = 22.6 kJ per mole of atoms
# D(E_F) = 5.971 states/eV/f.u.
# raw total energy = -7.78 eV per atom
data_LaZr2Ru
_symmetry_space_group_name_H-M 'F m -3 m'
_symmetry_Int_Tables_number 225
_symmetry_space_group_name_Hall '-F 4 2 3'
_cell_length_a 6.9498
_cell_length_b 6.9498
_cell_length_c 6.9498
_cell_angle_alpha 90.00
_cell_angle_beta 90.00
_cell_angle_gamma 90.00
loop_
_atom_site_label
_atom_site_fract_x
_atom_site_fract_y
_atom_site_fract_z
La1 0.0000 0.0000 0.0000
Zr1 0.2500 0.2500 0.2500
Ru1 0.0000 0.0000 0.5000

***

Record 8
# LaZr2Ru, optimized geometry, DFT PBE
# total magnetization = 0.0 μB/cell
# calculated volume = 95 Å³/f.u.
# ΔE to the lowest computed polymorph = 17.5 kJ per mole of atoms
# D(E_F) = 4.848 states/eV/f.u.
# raw total energy = -7.83 eV per atom
data_LaZr2Ru
_symmetry_space_group_name_H-M 'P 1 m 1'
_symmetry_Int_Tables_number 6
_symmetry_space_group_name_Hall 'P -2y'
_cell_length_a 3.3198
_cell_length_b 4.3788
_cell_length_c 6.6136
_cell_angle_alpha 90.00
_cell_angle_beta 98.95
_cell_angle_gamma 90.00
loop_
_atom_site_label
_atom_site_fract_x
_atom_site_fract_y
_atom_site_fract_z
La1 0.0000 0.0000 0.0000
Zr1 0.3910 0.5000 0.6601
Zr2 0.8551 0.0000 0.4416
Ru1 0.4585 0.5000 0.2759

***

Record 9
# La2ZrRu, optimized geometry, DFT PBE
# total magnetization = 0.0 μB/cell
# calculated volume = 100 Å³/f.u.
# ΔE to the lowest computed polymorph = 32.0 kJ per mole of atoms
# D(E_F) = 4.480 states/eV/f.u.
# raw total energy = -6.72 eV per atom
data_La2ZrRu
_symmetry_space_group_name_H-M 'P 4/m m m'
_symmetry_Int_Tables_number 123
_symmetry_space_group_name_Hall '-P 4 2'
_cell_length_a 5.2848
_cell_length_b 5.2848
_cell_length_c 3.5655
_cell_angle_alpha 90.00
_cell_angle_beta 90.00
_cell_angle_gamma 90.00
loop_
_atom_site_label
_atom_site_fract_x
_atom_site_fract_y
_atom_site_fract_z
La1 0.0000 0.5000 0.0000
Zr1 0.0000 0.0000 0.5000
Ru1 0.5000 0.5000 0.5000

***

Record 10
# LaZr2Ru, optimized geometry, DFT PBE
# total magnetization = 0.0 μB/cell
# calculated volume = 93 Å³/f.u.
# ΔE to the lowest computed polymorph = 54.2 kJ per mole of atoms
# D(E_F) = 6.005 states/eV/f.u.
# raw total energy = -7.45 eV per atom
data_LaZr2Ru
_symmetry_space_group_name_H-M 'I -4 2 d'
_symmetry_Int_Tables_number 122
_symmetry_space_group_name_Hall 'I -4 2bw'
_cell_length_a 4.1475
_cell_length_b 4.1475
_cell_length_c 21.7112
_cell_angle_alpha 90.00
_cell_angle_beta 90.00
_cell_angle_gamma 90.00
loop_
_atom_site_label
_atom_site_fract_x
_atom_site_fract_y
_atom_site_fract_z
La1 0.0000 0.0000 0.0000
Zr1 0.2325 0.2500 0.6250
Ru1 0.0000 0.0000 0.5000

***

Record 11
# La2ZrRu, optimized geometry, DFT PBE
# total magnetization = 0.0 μB/cell
# calculated volume = 96 Å³/f.u.
# ΔE to the lowest computed polymorph = 38.7 kJ per mole of atoms
# D(E_F) = 5.214 states/eV/f.u.
# raw total energy = -6.65 eV per atom
data_La2ZrRu
_symmetry_space_group_name_H-M 'C 1 2/m 1'
_symmetry_Int_Tables_number 12
_symmetry_space_group_name_Hall '-C 2y'
_cell_length_a 6.2785
_cell_length_b 9.8536
_cell_length_c 3.3873
_cell_angle_alpha 90.00
_cell_angle_beta 113.79
_cell_angle_gamma 90.00
loop_
_atom_site_label
_atom_site_fract_x
_atom_site_fract_y
_atom_site_fract_z
La1 0.2500 0.2500 0.0000
Zr1 0.0000 0.0000 0.5000
Ru1 0.0000 0.5000 0.5000

***

Record 12
# LaZr2Ru, optimized geometry, DFT PBE
# total magnetization = 0.0 μB/cell
# calculated volume = 91 Å³/f.u.
# ΔE to the lowest computed polymorph = 0.0 kJ per mole of atoms
# D(E_F) = 2.754 states/eV/f.u.
# raw total energy = -8.01 eV per atom
data_LaZr2Ru
_symmetry_space_group_name_H-M 'P 4/m m m'
_symmetry_Int_Tables_number 123
_symmetry_space_group_name_Hall '-P 4 2'
_cell_length_a 3.3278
_cell_length_b 3.3278
_cell_length_c 8.1834
_cell_angle_alpha 90.00
_cell_angle_beta 90.00
_cell_angle_gamma 90.00
loop_
_atom_site_label
_atom_site_fract_x
_atom_site_fract_y
_atom_site_fract_z
La1 0.0000 0.0000 0.0000
Zr1 0.5000 0.5000 0.3071
Ru1 0.0000 0.0000 0.5000

***

Record 13
# La2ZrRu, optimized geometry, DFT PBE
# total magnetization = 0.0 μB/cell
# calculated volume = 107 Å³/f.u.
# ΔE to the lowest computed polymorph = 3.3 kJ per mole of atoms
# D(E_F) = 3.562 states/eV/f.u.
# raw total energy = -7.02 eV per atom
data_La2ZrRu
_symmetry_space_group_name_H-M 'I m m 2'
_symmetry_Int_Tables_number 44
_symmetry_space_group_name_Hall 'I 2 -2'
_cell_length_a 3.6167
_cell_length_b 5.4564
_cell_length_c 10.8533
_cell_angle_alpha 90.00
_cell_angle_beta 90.00
_cell_angle_gamma 90.00
loop_
_atom_site_label
_atom_site_fract_x
_atom_site_fract_y
_atom_site_fract_z
La1 0.0000 0.0000 0.0000
La2 0.0000 0.5000 0.2080
Zr1 0.0000 0.5000 0.8067
Ru1 0.0000 0.0000 0.4792

***

Record 14
# La2ZrRu, optimized geometry, DFT PBE
# total magnetization = 0.0 μB/cell
# calculated volume = 95 Å³/f.u.
# ΔE to the lowest computed polymorph = 34.6 kJ per mole of atoms
# D(E_F) = 5.056 states/eV/f.u.
# raw total energy = -6.69 eV per atom
data_La2ZrRu
_symmetry_space_group_name_H-M 'P m m m'
_symmetry_Int_Tables_number 47
_symmetry_space_group_name_Hall '-P 2 2'
_cell_length_a 3.5209
_cell_length_b 5.0943
_cell_length_c 5.3040
_cell_angle_alpha 90.00
_cell_angle_beta 90.00
_cell_angle_gamma 90.00
loop_
_atom_site_label
_atom_site_fract_x
_atom_site_fract_y
_atom_site_fract_z
La1 0.0000 0.0000 0.0000
La2 0.5000 0.0000 0.5000
Zr1 0.0000 0.5000 0.5000
Ru1 0.5000 0.5000 0.0000

***

Calculated energy of formation (meV/atom), listed in the same order as above: 153, 8, 247, 437, 215, -17, 47, -6, 199, 375, 268, -187, -98, 225